Below is a relaxed CsVHgO4 crystal, with properties calculated at the GGA+U level.

a = 5.532 Å, b = 6.387 Å, c = 8.584 Å
α = 90.00°, β = 113.10°, γ = 90.00°
Element x y z (fractional)
Cs (0.577, 0.750, 0.880)
Cs (0.423, 0.250, 0.120)
V (0.160, 0.750, 0.307)
V (0.840, 0.250, 0.693)
Hg (0.843, 0.750, 0.510)
Hg (0.157, 0.250, 0.490)
O (0.041, 0.471, 0.695)
O (0.959, 0.971, 0.305)
O (0.959, 0.529, 0.305)
O (0.041, 0.029, 0.695)
O (0.238, 0.750, 0.136)
O (0.762, 0.250, 0.864)
O (0.438, 0.750, 0.497)
O (0.562, 0.250, 0.503)

Uncorrected energy ... -5.506 eV/atom
Space group ... P2_1/m
DOS at the Fermi energy ... 0.0 states/eV/cell

Below is a relaxed Cs2VHgO4 crystal, with properties calculated at the GGA+U level.

a = 6.037 Å, b = 7.014 Å, c = 11.521 Å
α = 83.53°, β = 74.81°, γ = 64.51°
Element x y z (fractional)
Cs (0.178, 0.000, 0.644)
Cs (0.822, 0.000, 0.356)
Cs (0.572, 0.500, 0.856)
Cs (0.928, 0.500, 0.144)
V (0.250, 0.500, 0.500)
V (0.500, 0.000, 0.000)
Hg (0.750, 0.500, 0.500)
Hg (0.000, 0.000, 0.000)
O (0.371, 0.834, 0.089)
O (0.293, 0.166, 0.911)
O (0.795, 0.834, 0.911)
O (0.541, 0.166, 0.089)
O (0.379, 0.666, 0.411)
O (0.457, 0.334, 0.589)
O (0.955, 0.666, 0.589)
O (0.209, 0.334, 0.411)

Uncorrected energy ... -5.061 eV/atom
Space group ... Fddd
DOS at the Fermi energy ... 5.6 states/eV/cell

Below is a relaxed CsV4Hg3O12 crystal, with properties calculated at the GGA+U level.

a = 7.571 Å, b = 7.571 Å, c = 7.571 Å
α = 111.06°, β = 111.06°, γ = 111.06°
Site moments in Bohr magnetons follow the coordinates.
Element x y z (fractional)
Cs (0.000, 0.000, 0.000)  0.02
V (0.924, 0.076, 0.500)  0.85
V (0.076, 0.500, 0.924)  0.85
V (0.500, 0.924, 0.076)  0.85
V (0.500, 0.500, 0.500)  0.98
Hg (0.567, 0.433, 0.000)  0.00
Hg (0.433, 0.000, 0.567)  0.00
Hg (0.000, 0.567, 0.433)  0.00
O (0.500, 0.362, 0.638)  -0.07
O (0.935, 0.500, 0.065)  -0.07
O (0.065, 0.935, 0.500)  -0.07
O (0.500, 0.065, 0.935)  -0.07
O (0.340, 0.857, 0.201)  -0.07
O (0.201, 0.340, 0.857)  -0.07
O (0.857, 0.201, 0.340)  -0.07
O (0.660, 0.799, 0.143)  -0.07
O (0.143, 0.660, 0.799)  -0.07
O (0.799, 0.143, 0.660)  -0.07
O (0.638, 0.500, 0.362)  -0.07
O (0.362, 0.638, 0.500)  -0.07

Uncorrected energy ... -5.705 eV/atom
Space group ... R32
DOS at the Fermi energy ... 6.9 states/eV/cell